1.
Entry from the Alexandria database: Sm4MgAg3 after structural relaxation (PBE).

The space group is Pmmm (No. 47) and the conventional cell measures 3.754, 5.282 and 10.566 Å, with angles of 90.00, 90.00 and 90.00 degrees. Symmetry generates all atoms from Sm at (0.000, 0.000, 0.000), Sm at (0.000, 0.000, 0.500), Sm at (0.000, 0.500, 0.242), Mg at (0.500, 0.500, 0.500), Ag at (0.500, 0.000, 0.259) and Ag at (0.500, 0.500, 0.000).

Its spin magnetization is 0.0 μB per cell. The value obtained for the formation energy from the elements is -0.223 eV per atom. The calculation puts the total energy at -3.851 eV per atom.



2.
Entry from the Alexandria database: BaNa2Cd2 after structural relaxation (PBE).

The space group is P4/mbm (No. 127) and the conventional cell measures 9.010, 9.010 and 4.261 Å, with angles of 90.00, 90.00 and 90.00 degrees. Symmetry generates all atoms from Ba at (0.000, 0.000, 0.000), Na at (0.167, 0.333, 0.500) and Cd at (0.118, 0.618, 0.000).

Its spin magnetization is 0.0 μB per cell. The polymorph energy (0 for the lowest one) comes out at 99.6 meV/atom. The value obtained for the formation energy from the elements is -0.077 eV per atom. The calculation puts the total energy at -1.356 eV per atom.



3.
Entry from the Alexandria database: Na2LaCu2 after structural relaxation (PBE).

The space group is I4/mmm (No. 139) and the conventional cell measures 4.123, 4.123 and 14.017 Å, with angles of 90.00, 90.00 and 90.00 degrees. Symmetry generates all atoms from Na at (0.000, 0.500, 0.250), La at (0.000, 0.000, 0.000) and Cu at (0.000, 0.000, 0.413).

Its spin magnetization is 0.0 μB per cell. The polymorph energy (0 for the lowest one) comes out at 0.0 meV/atom. The value obtained for the formation energy from the elements is 0.073 eV per atom. The calculation puts the total energy at -3.078 eV per atom.



4.
Entry from the Alexandria database: FeNiW3 after structural relaxation (PBE).

The space group is Pm-3m (No. 221) and the conventional cell measures 4.417, 4.417 and 4.417 Å, with angles of 90.00, 90.00 and 90.00 degrees. Symmetry generates all atoms from Fe at (0.000, 0.000, 0.000), Ni at (0.500, 0.500, 0.500) and W at (0.000, 0.000, 0.500).

Its spin magnetization is 0.0 μB per cell. The polymorph energy (0 for the lowest one) comes out at 0.0 meV/atom. The value obtained for the formation energy from the elements is 1.482 eV per atom. The calculation puts the total energy at -9.139 eV per atom.



5.
Entry from the Alexandria database: Ba3Ce2PaP6 after structural relaxation (PBE).

The space group is C2/m (No. 12) and the conventional cell measures 7.413, 12.839 and 7.692 Å, with angles of 90.00, 108.73 and 90.00 degrees. Symmetry generates all atoms from Ba at (0.000, 0.000, 0.000), Ba at (0.000, 0.331, 0.000), Ce at (0.000, 0.166, 0.500), Pa at (0.000, 0.500, 0.500), P at (0.228, 0.339, 0.702) and P at (0.246, 0.000, 0.703).

Its spin magnetization is 1.9 μB per cell. The value obtained for the formation energy from the elements is -1.232 eV per atom. The calculation puts the total energy at -6.198 eV per atom.



6.
Entry from the Alexandria database: Ta2Ni2Rh after structural relaxation (PBE).

The space group is C2/c (No. 15) and the conventional cell measures 9.314, 4.597 and 7.201 Å, with angles of 90.00, 110.36 and 90.00 degrees. Symmetry generates all atoms from Ta at (0.169, 0.168, 0.140), Ni at (0.118, 0.332, 0.465) and Rh at (0.000, 0.200, 0.750).

Its spin magnetization is 0.0 μB per cell. The polymorph energy (0 for the lowest one) comes out at 85.4 meV/atom. The value obtained for the formation energy from the elements is -0.274 eV per atom. The calculation puts the total energy at -8.798 eV per atom.



7.
Entry from the Alexandria database: Ta2SiMo after structural relaxation (PBE).

The space group is P4/mmm (No. 123) and the conventional cell measures 4.260, 4.260 and 3.579 Å, with angles of 90.00, 90.00 and 90.00 degrees. Symmetry generates all atoms from Ta at (0.000, 0.500, 0.000), Si at (0.000, 0.000, 0.500) and Mo at (0.500, 0.500, 0.500).

Its spin magnetization is 0.0 μB per cell. The calculation puts the total energy at -10.184 eV per atom.



8.
Entry from the Alexandria database: Ba2VCo after structural relaxation (PBE).

The space group is I-42d (No. 122) and the conventional cell measures 11.964, 11.964 and 4.456 Å, with angles of 90.00, 90.00 and 90.00 degrees. Symmetry generates all atoms from Ba at (0.069, 0.250, 0.125), V at (0.000, 0.000, 0.500) and Co at (0.000, 0.000, 0.000).

Its spin magnetization is 12.1 μB per cell. The polymorph energy (0 for the lowest one) comes out at 0.0 meV/atom. The value obtained for the formation energy from the elements is 0.628 eV per atom. The calculation puts the total energy at -4.389 eV per atom.



Which value of spin magnetization does entry 6 give?
0.0 μB per cell